Record 1
This record from Alexandria via LeMat-Bulk describes a relaxed structure of TbNd2TmTl2. The functional is GGA-PBE.

Computed properties:
ΔE_f = -0.27 eV/atom
space group = Pmc2_1 (26)
total energy = -4.16 eV/atom

Lattice parameters (Å, degrees): 5.137 10.183 6.905 90.00 90.00 90.00
Fractional positions:
Tb: 0.000 0.043 0.000
Tb: 0.000 0.957 0.500
Nd: 0.000 0.313 0.370
Nd: 0.000 0.687 0.870
Nd: 0.500 0.455 0.098
Nd: 0.500 0.545 0.598
Tm: 0.500 0.185 0.716
Tm: 0.500 0.815 0.216
Tl: 0.000 0.354 0.838
Tl: 0.000 0.646 0.338
Tl: 0.500 0.123 0.259
Tl: 0.500 0.877 0.759



Record 2
This record from Alexandria via LeMat-Bulk describes a relaxed structure of Tb2NdTmTl4. The functional is GGA-PBE.

Computed properties:
ΔE_f = -0.34 eV/atom
space group = R-3m (166)
total energy = -3.84 eV/atom

Lattice parameters (Å, degrees): 9.393 9.393 9.393 33.42 33.42 33.42
Fractional positions:
Tb: 0.249 0.249 0.249
Tb: 0.751 0.751 0.751
Nd: 0.000 0.000 0.000
Tm: 0.500 0.500 0.500
Tl: 0.127 0.127 0.127
Tl: 0.377 0.377 0.377
Tl: 0.623 0.623 0.623
Tl: 0.873 0.873 0.873



Record 3
This record from Alexandria via LeMat-Bulk describes a relaxed structure of Tb6Nd3Tm2Tl. The functional is GGA-PBE.

Computed properties:
ΔE_f = -0.01 eV/atom
space group = C2/m (12)
total energy = -4.46 eV/atom

Lattice parameters (Å, degrees): 6.184 6.184 11.659 95.12 95.12 120.09
Fractional positions:
Tb: 0.080 0.408 0.242
Tb: 0.248 0.248 0.756
Tb: 0.408 0.080 0.242
Tb: 0.592 0.920 0.758
Tb: 0.752 0.752 0.244
Tb: 0.920 0.592 0.758
Nd: 0.167 0.833 0.500
Nd: 0.500 0.500 0.500
Nd: 0.833 0.167 0.500
Tm: 0.334 0.666 0.000
Tm: 0.666 0.334 0.000
Tl: 0.000 0.000 0.000